Here is a crystal of LiZrPb2 relaxed with PBEsol from Alexandria via LeMat-Bulk. Energies are from SCAN.

a b c (Å): 3.2211 4.1619 6.7235
angles (deg): 90.00 90.00 90.00
Last column: nearest neighbours and their distance in Å.
Positions (direct):
Zr: 0.5000 0.5000 0.0000  8 Pb 3.15, 2 Zr 3.22, 2 Li 3.36
Pb: 0.0000 0.0000 0.7425  4 Li 3.10, 4 Zr 3.15, 4 Pb 3.22-3.46
Pb: 0.0000 0.0000 0.2575  4 Li 3.10, 4 Zr 3.15, 4 Pb 3.22-3.46
Li: 0.5000 0.5000 0.5000  8 Pb 3.10, 2 Li 3.22, 2 Zr 3.36

The space group is Pmmm, No. 47. The formation energy comes out at -339 meV/atom. As for the total DFT energy (no corrections): -46.502 eV/atom.